(1)
Rb4NbTe4 | GGA-PBE | relaxed

Calculated values
Its calculated total energy is -33.1 eV per cell. For the volume, the calculation gives 58.26 A^3/atom. Its symmetry is I-42m.

Lattice parameters (Å, degrees): 9.3318 9.3318 9.3318 125.05 125.05 81.46
Fractional positions:
Rb 0.0000 0.5000 0.5000
Rb 0.1917 0.1917 0.0000
Rb 0.5000 0.0000 0.5000
Rb 0.8083 0.8083 0.0000
Nb 0.5000 0.5000 0.0000
Te 0.2083 0.5711 0.0000
Te 0.4289 0.4289 0.6371
Te 0.5711 0.2083 0.0000
Te 0.7917 0.7917 0.3629


(2)
RbNb6Te8 | GGA-PBE | relaxed

Calculated values
Its calculated total energy is -94.2 eV per cell. For the volume, the calculation gives 25.38 A^3/atom. Its symmetry is P-3.

Lattice parameters (Å, degrees): 10.9165 10.9165 3.6883 90.00 90.00 120.00
Fractional positions:
Rb 0.0000 0.0000 0.0000
Nb 0.1000 0.6117 0.7521
Nb 0.3883 0.4883 0.7521
Nb 0.4883 0.1000 0.2479
Nb 0.5117 0.9000 0.7521
Nb 0.6117 0.5117 0.2479
Nb 0.9000 0.3883 0.2479
Te 0.0667 0.3421 0.7455
Te 0.2754 0.9333 0.7455
Te 0.3333 0.6667 0.2511
Te 0.3421 0.2754 0.2545
Te 0.6579 0.7246 0.7455
Te 0.6667 0.3333 0.7489
Te 0.7246 0.0667 0.2545
Te 0.9333 0.6579 0.2545


(3)
Rb2NbTe | GGA-PBE | relaxed

Calculated values
Its calculated total energy is -27.4 eV per cell. For the volume, the calculation gives 62.48 A^3/atom. Its symmetry is I-42d.

Lattice parameters (Å, degrees): 9.9565 9.9565 9.9565 94.30 94.30 148.23
Fractional positions:
Rb 0.3750 0.2015 0.3265
Rb 0.7985 0.1250 0.1735
Rb 0.8750 0.0485 0.6735
Rb 0.9515 0.6250 0.8265
Nb 0.2500 0.7500 0.5000
Nb 0.5000 0.5000 0.0000
Te 0.0000 0.0000 0.0000
Te 0.7500 0.2500 0.5000


(4)
Rb2NbTe5 | GGA-PBE | relaxed

Calculated values
Its calculated total energy is -32.0 eV per cell. For the volume, the calculation gives 46.22 A^3/atom. Its symmetry is Cm.

Lattice parameters (Å, degrees): 7.9085 7.9085 9.0579 114.01 114.01 46.73
Fractional positions:
Rb 0.0000 0.0000 0.0000
Rb 0.6184 0.6184 0.6563
Nb 0.7429 0.7429 0.2938
Te 0.0304 0.5071 0.0720
Te 0.1090 0.5892 0.5628
Te 0.5071 0.0304 0.0720
Te 0.5498 0.5498 0.2269
Te 0.5892 0.1090 0.5628


(5)
RbNb2Te2 | GGA-PBE | relaxed

Calculated values
Its calculated total energy is -30.0 eV per cell. For the volume, the calculation gives 28.76 A^3/atom. Its symmetry is I4/mmm.

Lattice parameters (Å, degrees): 9.0603 9.0603 9.0603 153.89 153.89 37.26
Fractional positions:
Rb 0.0000 0.0000 0.0000
Nb 0.2500 0.7500 0.5000
Nb 0.7500 0.2500 0.5000
Te 0.3655 0.3655 0.0000
Te 0.6345 0.6345 0.0000


(6)
Rb4NbTe5 | GGA-PBE | relaxed

Calculated values
Its calculated total energy is -36.9 eV per cell. For the volume, the calculation gives 46.16 A^3/atom. Its symmetry is P1.

Lattice parameters (Å, degrees): 7.3597 8.5727 8.6137 80.66 66.31 68.07
Fractional positions:
Rb 0.0000 0.0000 0.0000
Rb 0.2004 0.1853 0.4218
Rb 0.4129 0.3960 0.8309
Rb 0.6218 0.6059 0.2085
Nb 0.9395 0.7408 0.5940
Te 0.0797 0.6214 0.2776
Te 0.2699 0.7757 0.6100
Te 0.5900 0.9355 0.8674
Te 0.7275 0.0605 0.4758
Te 0.9052 0.4587 0.7823


(7)
Rb2TiNbTe | GGA-PBE | relaxed

Calculated values
Its calculated total energy is -16.9 eV per cell. For the volume, the calculation gives 49.94 A^3/atom. Its symmetry is P4/mmm.

Lattice parameters (Å, degrees): 6.9408 6.9408 5.1833 90.00 90.00 90.00
Fractional positions:
Rb 0.0000 0.5000 0.0000
Rb 0.5000 0.0000 0.0000
Ti 0.0000 0.0000 0.0000
Nb 0.5000 0.5000 0.5000
Te 0.0000 0.0000 0.5000


(8)
Rb2NbTlTe4 | GGA-PBE | relaxed

Calculated values
Its calculated total energy is -31.7 eV per cell. For the volume, the calculation gives 46.89 A^3/atom. Its symmetry is I-4.

Lattice parameters (Å, degrees): 7.8701 7.8701 7.8701 110.02 110.02 108.38
Fractional positions:
Rb 0.0000 0.0000 0.0000
Rb 0.7500 0.2500 0.5000
Nb 0.2500 0.7500 0.5000
Tl 0.5000 0.5000 0.0000
Te 0.2498 0.0930 0.5261
Te 0.2764 0.7502 0.8432
Te 0.5669 0.7236 0.4739
Te 0.9070 0.4331 0.1568